The following is a DFT calculation (PBE-GGA) of BeNbAl after structural relaxation.

Cell: 4.8399 8.0631 8.7009 Å, 90.00 90.00 90.00°
Closest atoms and distances in Å follow each position.
Atoms (fractional coordinates):
Al (0.0000, 0.5000, 0.8410)  4 Be 2.48, 1 Al 2.77
Nb (0.0000, 0.8320, 0.0000)  4 Be 2.58, 3 Nb 2.71-2.76
Be (0.2500, 0.2500, 0.7500)  2 Be 2.42, 4 Al 2.48, 4 Nb 2.58
Al (0.5000, 0.5000, 0.3410)  4 Be 2.48, 1 Al 2.77
Be (0.7500, 0.2500, 0.7500)  2 Be 2.42, 4 Al 2.48, 4 Nb 2.58
Nb (0.5000, 0.3320, 0.0000)  4 Be 2.58, 3 Nb 2.71-2.76
Nb (0.5000, 0.6680, 0.0000)  4 Be 2.58, 3 Nb 2.71-2.76
Nb (0.5000, 0.8320, 0.5000)  4 Be 2.58, 3 Nb 2.71-2.76
Nb (0.0000, 0.6680, 0.5000)  4 Be 2.58, 3 Nb 2.71-2.76
Nb (0.0000, 0.3320, 0.5000)  4 Be 2.58, 3 Nb 2.71-2.76
Be (0.2500, 0.7500, 0.7500)  2 Be 2.42, 4 Al 2.48, 4 Nb 2.58
Nb (0.5000, 0.1680, 0.5000)  4 Be 2.58, 3 Nb 2.71-2.76
Be (0.7500, 0.7500, 0.2500)  2 Be 2.42, 4 Al 2.48, 4 Nb 2.58
Be (0.2500, 0.7500, 0.2500)  2 Be 2.42, 4 Al 2.48, 4 Nb 2.58
Be (0.7500, 0.2500, 0.2500)  2 Be 2.42, 4 Al 2.48, 4 Nb 2.58
Be (0.7500, 0.7500, 0.7500)  2 Be 2.42, 4 Al 2.48, 4 Nb 2.58
Nb (0.0000, 0.1680, 0.0000)  4 Be 2.58, 3 Nb 2.71-2.76
Al (0.5000, 0.0000, 0.8410)  4 Be 2.48, 1 Al 2.77
Al (0.0000, 0.0000, 0.3410)  4 Be 2.48, 1 Al 2.77
Be (0.2500, 0.2500, 0.2500)  2 Be 2.42, 4 Al 2.48, 4 Nb 2.58
Al (0.0000, 0.5000, 0.1590)  4 Be 2.48, 1 Al 2.77
Al (0.0000, 0.0000, 0.6590)  4 Be 2.48, 1 Al 2.77
Al (0.5000, 0.5000, 0.6590)  4 Be 2.48, 1 Al 2.77
Al (0.5000, 0.0000, 0.1590)  4 Be 2.48, 1 Al 2.77

**Theoretical density**: 5.0 Mg/m³
**Excess energy over the best structure of this formula in the dataset**: 0.63 eV/f.u.
**DOS(E_F)**: 1.4 states/eV/f.u.
**Final energy**: -5.990 eV per atom
**Energy of formation**: -0.14 eV per atom

The following is a DFT calculation (PBE-GGA) of PmSn2Hg2 after structural relaxation.

Cell: 5.1897 5.1897 12.6493 Å, 90.00 90.00 120.00°
Closest atoms and distances in Å follow each position.
Atoms (fractional coordinates):
Sn (0.0000, 0.0000, 0.5000)  2 Pm 3.16, 6 Hg 3.29
Sn (0.6667, 0.3333, 0.7500)  3 Pm 3.00
Sn (0.3333, 0.6667, 0.2500)  3 Pm 3.00
Hg (0.6667, 0.3333, 0.3926)  6 Sn 3.29-3.50, 3 Pm 3.50, 1 Hg 3.61
Pm (0.0000, 0.0000, 0.7500)  5 Sn 3.00-3.16
Hg (0.3333, 0.6667, 0.8926)  6 Sn 3.29-3.50, 3 Pm 3.50, 1 Hg 3.61
Pm (0.0000, 0.0000, 0.2500)  5 Sn 3.00-3.16
Sn (0.0000, 0.0000, 0.0000)  2 Pm 3.16, 6 Hg 3.29
Hg (0.3333, 0.6667, 0.6074)  6 Sn 3.29-3.50, 3 Pm 3.50, 1 Hg 3.61
Hg (0.6667, 0.3333, 0.1074)  6 Sn 3.29-3.50, 3 Pm 3.50, 1 Hg 3.61

**Theoretical density**: 8.8 Mg/m³
**Excess energy over the best structure of this formula in the dataset**: 1.38 eV/f.u.
**DOS(E_F)**: 4.6 states/eV/f.u.
**Final energy**: -2.745 eV per atom
**Energy of formation**: -0.07 eV per atom

The following is a DFT calculation (PBE-GGA) of DyGa3CoNi after structural relaxation.

Cell: 5.3733 7.7299 6.4267 Å, 126.97 90.00 90.00°
Closest atoms and distances in Å follow each position.
Atoms (fractional coordinates):
Dy (0.7500, 0.2997, 0.5995)  1 Ni 2.67, 3 Co 2.88-2.96, 2 Ga 2.92
Ga (0.5000, 0.2563, 0.0000)  2 Ni 2.43, 2 Co 2.45, 2 Ga 2.69
Co (0.2500, 0.4201, 0.8402)  5 Ga 2.37-2.45
Ga (0.5000, 0.7437, 0.0000)  2 Ni 2.43, 2 Co 2.45, 2 Ga 2.69
Ga (0.2500, 0.1890, 0.3780)  1 Ni 2.35, 1 Co 2.37
Ga (0.0000, 0.2563, 0.0000)  2 Ni 2.43, 2 Co 2.45, 2 Ga 2.69
Ga (0.7500, 0.8110, 0.6220)  1 Ni 2.35, 1 Co 2.37
Ga (0.0000, 0.7437, 0.0000)  2 Ni 2.43, 2 Co 2.45, 2 Ga 2.69
Dy (0.2500, 0.7003, 0.4005)  1 Ni 2.67, 3 Co 2.88-2.96, 2 Ga 2.92
Co (0.7500, 0.5799, 0.1598)  5 Ga 2.37-2.45
Ni (0.7500, 0.0395, 0.0790)  5 Ga 2.35-2.43
Ni (0.2500, 0.9605, 0.9210)  5 Ga 2.35-2.43

**Theoretical density**: 7.6 Mg/m³
**DOS(E_F)**: 3.2 states/eV/f.u.
**Final energy**: -4.707 eV per atom
**Energy of formation**: -0.28 eV per atom

Repeat the second record exactly.
The following is a DFT calculation (PBE-GGA) of PmSn2Hg2 after structural relaxation.

Cell: 5.1897 5.1897 12.6493 Å, 90.00 90.00 120.00°
Closest atoms and distances in Å follow each position.
Atoms (fractional coordinates):
Sn (0.0000, 0.0000, 0.5000)  2 Pm 3.16, 6 Hg 3.29
Sn (0.6667, 0.3333, 0.7500)  3 Pm 3.00
Sn (0.3333, 0.6667, 0.2500)  3 Pm 3.00
Hg (0.6667, 0.3333, 0.3926)  6 Sn 3.29-3.50, 3 Pm 3.50, 1 Hg 3.61
Pm (0.0000, 0.0000, 0.7500)  5 Sn 3.00-3.16
Hg (0.3333, 0.6667, 0.8926)  6 Sn 3.29-3.50, 3 Pm 3.50, 1 Hg 3.61
Pm (0.0000, 0.0000, 0.2500)  5 Sn 3.00-3.16
Sn (0.0000, 0.0000, 0.0000)  2 Pm 3.16, 6 Hg 3.29
Hg (0.3333, 0.6667, 0.6074)  6 Sn 3.29-3.50, 3 Pm 3.50, 1 Hg 3.61
Hg (0.6667, 0.3333, 0.1074)  6 Sn 3.29-3.50, 3 Pm 3.50, 1 Hg 3.61

**Theoretical density**: 8.8 Mg/m³
**Excess energy over the best structure of this formula in the dataset**: 1.38 eV/f.u.
**DOS(E_F)**: 4.6 states/eV/f.u.
**Final energy**: -2.745 eV per atom
**Energy of formation**: -0.07 eV per atom

> Look up the final energy of the third one.

-4.707 eV per atom

> Which of these has the lowest theoretical density?

BeNbAl